Density functional theory data (GGA-PBE) for Ca2SbH after structural relaxation.

The structure in POSCAR format:
```
Ca2SbH
1.0
-1.392 3.403 -4.645
-3.748 -4.549 -2.209
-9.876 5.303 6.844
Ca Sb H
8 4 4
direct
0.815 0.002 0.882
0.185 0.998 0.118
0.815 0.498 0.618
0.185 0.502 0.382
0.748 0.427 0.090
0.252 0.573 0.910
0.748 0.073 0.410
0.252 0.927 0.590
0.248 0.001 0.358
0.752 0.999 0.642
0.248 0.499 0.142
0.752 0.501 0.858
0.187 0.569 0.563
0.813 0.431 0.437
0.187 0.931 0.937
0.813 0.069 0.063
```

Summary:
**Total DFT energy (no corrections)**: -3.56 eV per atom
**ΔE to the lowest computed polymorph**: 114 meV/atom
**Space-group type**: No. 13